{
  "formula": "MnZn2IrO6",
  "functional": "GGA+U",
  "state": "optimized geometry",
  "lattice": [[5.1652, 0.0000, 0.0000], [0.0000, 5.1681, 0.0000], [-5.1130, 0.0000, 7.9840]],
  "species": ["Mn", "Mn", "Zn", "Zn", "Zn", "Zn", "Ir", "Ir", "O", "O", "O", "O", "O", "O", "O", "O", "O", "O", "O", "O"],
  "fractional_positions": [[0.0000, 0.0000, 0.0000], [0.0000, 0.5000, 0.5000], [0.2478, 0.0288, 0.7424], [0.2478, 0.4712, 0.2424], [0.7522, 0.5288, 0.7576], [0.7522, 0.9712, 0.2576], [0.5000, 0.0000, 0.5000], [0.5000, 0.5000, 0.0000], [0.1154, 0.1766, 0.4427], [0.1154, 0.3234, 0.9427], [0.2486, 0.6794, 0.4222], [0.2486, 0.8206, 0.9222], [0.3907, 0.0954, 0.2697], [0.3907, 0.4046, 0.7697], [0.6093, 0.5954, 0.2303], [0.6093, 0.9046, 0.7303], [0.7514, 0.1794, 0.0778], [0.7514, 0.3206, 0.5778], [0.8846, 0.6766, 0.0573], [0.8846, 0.8234, 0.5573]],
  "e_tot_ev_per_cell": -119.773,
  "density_g_cm3": 7.39,
  "space_group": "P2_1/c, No. 14",
  "m_tot_mub_per_atom": 0.20,
  "dos_at_fermi_per_ev_atom": 0.34
}